Computed, not measured: a relaxed structure of Dy2HoTm4Pu at the PBE level of DFT.

a b c (Å): 9.871 9.828 12.066
angles (deg): 144.57 114.25 89.97
Each line ends with the local moment (μB).
Element x y z (fractional)
Tm 0.246 0.746 0.496  0.11
Tm 0.246 0.246 0.997  0.11
Pu 0.000 0.500 0.500  5.55
Tm 0.754 0.254 0.504  0.11
Dy 0.500 0.000 0.500  0.02
Tm 0.754 0.754 0.003  0.11
Ho 0.500 0.500 0.500  -0.05
Dy 0.500 0.000 0.000  0.02
Tm 0.754 0.754 0.504  0.11
Dy 0.500 0.500 0.000  -0.05
Tm 0.246 0.246 0.496  0.11
Pu 0.000 0.500 0.000  5.55
Tm 0.754 0.253 0.004  0.11
Ho 0.000 0.000 0.000  0.08
Tm 0.246 0.747 0.996  0.11
Dy 0.000 0.000 0.500  0.07

Calculated values
Volume: 239.7 Å³/f.u.
Energy of formation from the pure elements: 0.06 eV/atom
Raw total energy: -5.6944 eV per atom